1.
## TmCoSn3 (PBE)

Data for a relaxed structure of TmCoSn3.

```
data_TmCoSn3
_cell_length_a 4.144
_cell_length_b 17.248
_cell_length_c 6.742
_cell_angle_alpha 90.00
_cell_angle_beta 90.00
_cell_angle_gamma 90.00
_symmetry_space_group_name_H-M 'A m a 2'
_symmetry_Int_Tables_number 40
loop_
_symmetry_equiv_pos_as_xyz
'x,y,z'
'-x,-y,z'
'-x+1/2,y,z'
'x+1/2,-y,z'
'x,y+1/2,z+1/2'
'-x,-y+1/2,z+1/2'
'-x+1/2,y+1/2,z+1/2'
'x+1/2,-y+1/2,z+1/2'
loop_
_atom_site_label
_atom_site_type_symbol
_atom_site_fract_x
_atom_site_fract_y
_atom_site_fract_z
Tm1 Tm 0.250 0.094 0.000
Co1 Co 0.250 0.463 0.743
Sn1 Sn 0.250 0.069 0.517
Sn2 Sn 0.250 0.305 0.219
Sn3 Sn 0.250 0.313 0.785
```

Results
The total energy is -0.180 Ha/atom.

=====

2.
## Tm2Co2Sn3 (PBE)

Data for a relaxed structure of Tm2Co2Sn3.

```
data_Tm2Co2Sn3
_cell_length_a 10.401
_cell_length_b 4.113
_cell_length_c 7.256
_cell_angle_alpha 90.00
_cell_angle_beta 114.61
_cell_angle_gamma 90.00
_symmetry_space_group_name_H-M 'C 1 2/m 1'
_symmetry_Int_Tables_number 12
loop_
_symmetry_equiv_pos_as_xyz
'x,y,z'
'-x,-y,-z'
'-x,y,-z'
'x,-y,z'
'x+1/2,y+1/2,z'
'-x+1/2,-y+1/2,-z'
'-x+1/2,y+1/2,-z'
'x+1/2,-y+1/2,z'
loop_
_atom_site_label
_atom_site_type_symbol
_atom_site_fract_x
_atom_site_fract_y
_atom_site_fract_z
Tm1 Tm 0.152 0.000 0.300
Co1 Co 0.142 0.000 0.710
Sn1 Sn 0.000 0.500 0.500
Sn2 Sn 0.128 0.500 0.952
```

Results
The total energy is -0.199 Ha/atom.

=====

3.
## TmCoSn (PBE)

Data for a relaxed structure of TmCoSn.

```
data_TmCoSn
_cell_length_a 6.347
_cell_length_b 6.347
_cell_length_c 6.347
_cell_angle_alpha 90.00
_cell_angle_beta 90.00
_cell_angle_gamma 90.00
_symmetry_space_group_name_H-M 'F -4 3 m'
_symmetry_Int_Tables_number 216
_symmetry_space_group_name_Hall 'F -4 2 3'
loop_
_atom_site_label
_atom_site_type_symbol
_atom_site_fract_x
_atom_site_fract_y
_atom_site_fract_z
Tm1 Tm 0.000 0.000 0.000
Co1 Co 0.250 0.250 0.250
Sn1 Sn 0.000 0.000 0.500
```

Results
The total energy is -0.204 Ha/atom.

=====

4.
## Tm6Co2Sn (PBE)

Data for a relaxed structure of Tm6Co2Sn.

```
data_Tm6Co2Sn
_cell_length_a 9.267
_cell_length_b 9.495
_cell_length_c 9.808
_cell_angle_alpha 90.00
_cell_angle_beta 90.00
_cell_angle_gamma 90.00
_symmetry_space_group_name_H-M 'I m m m'
_symmetry_Int_Tables_number 71
_symmetry_space_group_name_Hall '-I 2 2'
loop_
_atom_site_label
_atom_site_type_symbol
_atom_site_fract_x
_atom_site_fract_y
_atom_site_fract_z
Tm1 Tm 0.000 0.209 0.237
Tm2 Tm 0.188 0.500 0.175
Tm3 Tm 0.216 0.316 0.500
Co1 Co 0.000 0.342 0.000
Co2 Co 0.000 0.500 0.385
Sn1 Sn 0.000 0.000 0.000
Sn2 Sn 0.000 0.000 0.500
```

Results
The total energy is -0.198 Ha/atom.

=====

5.
## Tm3CoSn3 (PBE)

Data for a relaxed structure of Tm3CoSn3.

```
data_Tm3CoSn3
_cell_length_a 10.934
_cell_length_b 4.381
_cell_length_c 14.711
_cell_angle_alpha 90.00
_cell_angle_beta 109.53
_cell_angle_gamma 90.00
_symmetry_space_group_name_H-M 'C 1 2/m 1'
_symmetry_Int_Tables_number 12
loop_
_symmetry_equiv_pos_as_xyz
'x,y,z'
'-x,-y,-z'
'-x,y,-z'
'x,-y,z'
'x+1/2,y+1/2,z'
'-x+1/2,-y+1/2,-z'
'-x+1/2,y+1/2,-z'
'x+1/2,-y+1/2,z'
loop_
_atom_site_label
_atom_site_type_symbol
_atom_site_fract_x
_atom_site_fract_y
_atom_site_fract_z
Tm1 Tm 0.018 0.000 0.382
Tm2 Tm 0.095 0.000 0.921
Tm3 Tm 0.239 0.000 0.242
Co1 Co 0.245 0.500 0.386
Sn1 Sn 0.027 0.500 0.239
Sn2 Sn 0.131 0.500 0.078
Sn3 Sn 0.154 0.500 0.537
```

Results
The total energy is -0.192 Ha/atom.

=====

6.
## TmCoSn (PBE)

Data for a relaxed structure of TmCoSn.

```
data_TmCoSn
_cell_length_a 3.236
_cell_length_b 3.236
_cell_length_c 11.126
_cell_angle_alpha 90.00
_cell_angle_beta 90.00
_cell_angle_gamma 90.00
_symmetry_space_group_name_H-M 'I 4 m m'
_symmetry_Int_Tables_number 107
_symmetry_space_group_name_Hall 'I 4 -2'
loop_
_atom_site_label
_atom_site_type_symbol
_atom_site_fract_x
_atom_site_fract_y
_atom_site_fract_z
Tm1 Tm 0.000 0.000 0.000
Co1 Co 0.000 0.000 0.343
Sn1 Sn 0.000 0.000 0.714
```

Results
The total energy is -0.201 Ha/atom.

=====

7.
## Tm3Co8Sn (PBE)

Data for a relaxed structure of Tm3Co8Sn.

```
data_Tm3Co8Sn
_cell_length_a 4.9891
_cell_length_b 4.9891
_cell_length_c 24.5372
_cell_angle_alpha 90.00
_cell_angle_beta 90.00
_cell_angle_gamma 120.00
_symmetry_space_group_name_H-M 'R 3 m'
_symmetry_Int_Tables_number 160
_symmetry_space_group_name_Hall 'R 3 -2"'
loop_
_atom_site_label
_atom_site_type_symbol
_atom_site_fract_x
_atom_site_fract_y
_atom_site_fract_z
Tm1 Tm 0.0000 0.0000 0.0000
Tm2 Tm 0.0000 0.0000 0.1266
Tm3 Tm 0.0000 0.0000 0.6220
Co1 Co 0.0000 0.0000 0.3127
Co2 Co 0.0000 0.0000 0.8126
Co3 Co 0.0005 0.5003 0.0628
Co4 Co 0.1671 0.3343 0.8951
Sn1 Sn 0.0000 0.0000 0.4985
```

Results
The total energy is -0.236 Ha/atom.

=====

8.
## Tm5Co2Sn (PBE)

Data for a relaxed structure of Tm5Co2Sn.

```
data_Tm5Co2Sn
_cell_length_a 7.239
_cell_length_b 7.239
_cell_length_c 14.564
_cell_angle_alpha 90.00
_cell_angle_beta 90.00
_cell_angle_gamma 90.00
_symmetry_space_group_name_H-M 'I 4/m c m'
_symmetry_Int_Tables_number 140
_symmetry_space_group_name_Hall '-I 4 2c'
loop_
_atom_site_label
_atom_site_type_symbol
_atom_site_fract_x
_atom_site_fract_y
_atom_site_fract_z
Tm1 Tm 0.000 0.000 0.000
Tm2 Tm 0.174 0.326 0.130
Co1 Co 0.117 0.383 0.500
Sn1 Sn 0.000 0.000 0.250
```

Results
The total energy is -0.200 Ha/atom.

=====

9.
## Tm12Co5Sn (PBE)

Data for a relaxed structure of Tm12Co5Sn.

```
data_Tm12Co5Sn
_cell_length_a 9.232
_cell_length_b 9.241
_cell_length_c 9.746
_cell_angle_alpha 90.00
_cell_angle_beta 90.00
_cell_angle_gamma 90.00
_symmetry_space_group_name_H-M 'I m m m'
_symmetry_Int_Tables_number 71
_symmetry_space_group_name_Hall '-I 2 2'
loop_
_atom_site_label
_atom_site_type_symbol
_atom_site_fract_x
_atom_site_fract_y
_atom_site_fract_z
Tm1 Tm 0.000 0.194 0.212
Tm2 Tm 0.195 0.500 0.187
Tm3 Tm 0.212 0.315 0.500
Co1 Co 0.000 0.000 0.000
Co2 Co 0.000 0.376 0.000
Co3 Co 0.000 0.500 0.387
Sn1 Sn 0.000 0.000 0.500
```

Results
The total energy is -0.202 Ha/atom.

=====

10.
## TmCoSn (PBE)

Data for a relaxed structure of TmCoSn.

```
data_TmCoSn
_cell_length_a 6.853
_cell_length_b 4.395
_cell_length_c 7.749
_cell_angle_alpha 90.00
_cell_angle_beta 90.00
_cell_angle_gamma 90.00
_symmetry_space_group_name_H-M 'P n m a'
_symmetry_Int_Tables_number 62
loop_
_symmetry_equiv_pos_as_xyz
'x,y,z'
'-x,-y,-z'
'-x+1/2,-y,z+1/2'
'x+1/2,y,-z+1/2'
'x+1/2,-y+1/2,-z+1/2'
'-x+1/2,y+1/2,z+1/2'
'-x,y+1/2,-z'
'x,-y+1/2,z'
loop_
_atom_site_label
_atom_site_type_symbol
_atom_site_fract_x
_atom_site_fract_y
_atom_site_fract_z
Tm1 Tm 0.019 0.250 0.190
Co1 Co 0.227 0.750 0.398
Sn1 Sn 0.172 0.250 0.574
```

Results
The total energy is -0.209 Ha/atom.

=====

11.
## TmCo2Sn (PBE)

Data for a relaxed structure of TmCo2Sn.

```
data_TmCo2Sn
_cell_length_a 6.368
_cell_length_b 6.368
_cell_length_c 6.368
_cell_angle_alpha 90.00
_cell_angle_beta 90.00
_cell_angle_gamma 90.00
_symmetry_space_group_name_H-M 'F m -3 m'
_symmetry_Int_Tables_number 225
_symmetry_space_group_name_Hall '-F 4 2 3'
loop_
_atom_site_label
_atom_site_type_symbol
_atom_site_fract_x
_atom_site_fract_y
_atom_site_fract_z
Tm1 Tm 0.000 0.000 0.000
Co1 Co 0.250 0.250 0.250
Sn1 Sn 0.000 0.000 0.500
```

Results
The total energy is -0.220 Ha/atom.

=====

12.
## Tm2CoSn3 (PBE)

Data for a relaxed structure of Tm2CoSn3.

```
data_Tm2CoSn3
_cell_length_a 8.518
_cell_length_b 8.238
_cell_length_c 8.116
_cell_angle_alpha 90.00
_cell_angle_beta 107.18
_cell_angle_gamma 90.00
_symmetry_space_group_name_H-M 'C 1 2/c 1'
_symmetry_Int_Tables_number 15
loop_
_symmetry_equiv_pos_as_xyz
'x,y,z'
'-x,-y,-z'
'-x,y,-z+1/2'
'x,-y,z+1/2'
'x+1/2,y+1/2,z'
'-x+1/2,-y+1/2,-z'
'-x+1/2,y+1/2,-z+1/2'
'x+1/2,-y+1/2,z+1/2'
loop_
_atom_site_label
_atom_site_type_symbol
_atom_site_fract_x
_atom_site_fract_y
_atom_site_fract_z
Tm1 Tm 0.143 0.219 0.139
Co1 Co 0.000 0.403 0.750
Sn1 Sn 0.000 0.096 0.750
Sn2 Sn 0.177 0.427 0.502
```

Results
The total energy is -0.187 Ha/atom.

=====

Number 1: V 120 Å³/f.u., size of the total moment 1.62 μB per cell, E_form -0.188 eV per atom. Number 2: V 141 Å³/f.u., size of the total moment 0.00 μB per cell, E_form -0.394 eV per atom. Number 3: V 64 Å³/f.u., size of the total moment 3.08 μB per cell, E_form -0.364 eV per atom. Number 4: V 216 Å³/f.u., size of the total moment 0.00 μB per cell, E_form -0.371 eV per atom. Number 5: V 166 Å³/f.u., size of the total moment 0.00 μB per cell, E_form -0.583 eV per atom. Number 6: V 58 Å³/f.u., size of the total moment 0.70 μB per cell, E_form -0.266 eV per atom. Number 7: V 176 Å³/f.u., size of the total moment 25.68 μB per cell, E_form -0.223 eV per atom. Number 8: V 191 Å³/f.u., size of the total moment 0.00 μB per cell, E_form -0.374 eV per atom. Number 9: V 416 Å³/f.u., size of the total moment 0.00 μB per cell, E_form -0.323 eV per atom. Number 10: V 58 Å³/f.u., size of the total moment 0.00 μB per cell, E_form -0.490 eV per atom. Number 11: V 65 Å³/f.u., size of the total moment 4.06 μB per cell, E_form -0.303 eV per atom. Number 12: V 136 Å³/f.u., size of the total moment 0.00 μB per cell, E_form -0.420 eV per atom.